Compound: AcNd2Pb3
Source: Alexandria via LeMat-Bulk
Functional: PBE
Structure: optimized geometry

calculated formation energy: -0.47 eV/atom
spin magnetization: 0.000 μB/atom
E_tot: -4.601 eV per atom

Cell lengths 9.368, 9.368, 6.382 Å; angles 104.37, 104.37, 122.58 degrees
Atoms (fractional coordinates):
Ac 0.074 0.926 0.750
Ac 0.926 0.074 0.250
Nd 0.234 0.766 0.250
Nd 0.411 0.589 0.750
Nd 0.589 0.411 0.250
Nd 0.766 0.234 0.750
Pb 0.000 0.500 0.500
Pb 0.197 0.376 0.047
Pb 0.376 0.197 0.547
Pb 0.500 0.000 0.000
Pb 0.624 0.803 0.453
Pb 0.803 0.624 0.953

---

Compound: LiTe2Pt
Source: Alexandria via LeMat-Bulk
Functional: PBE
Structure: optimized geometry

spin magnetization: 0.000 μB/atom
E_tot: -3.870 eV per atom

Cell lengths 7.877, 7.877, 7.877 Å; angles 135.64, 135.64, 64.54 degrees
Atoms (fractional coordinates):
Li 0.000 0.000 0.000
Li 0.750 0.250 0.500
Te 0.151 0.625 0.026
Te 0.375 0.401 0.526
Te 0.599 0.125 0.974
Te 0.875 0.849 0.474
Pt 0.250 0.750 0.500
Pt 0.500 0.500 0.000

---

Compound: PmPr2SmDy2
Source: Alexandria via LeMat-Bulk
Functional: PBE
Structure: optimized geometry

calculated formation energy: 0.06 eV/atom
spin magnetization: 0.000 μB/atom
E_tot: -4.643 eV per atom

Cell lengths 5.753, 9.952, 7.079 Å; angles 90.00, 90.00, 90.00 degrees
Atoms (fractional coordinates):
Pm 0.000 0.000 0.000
Pm 0.000 0.000 0.500
Pr 0.000 0.330 0.249
Pr 0.000 0.670 0.749
Pr 0.500 0.500 0.000
Pr 0.500 0.500 0.500
Sm 0.500 0.165 0.750
Sm 0.500 0.835 0.250
Dy 0.000 0.334 0.750
Dy 0.000 0.666 0.250
Dy 0.500 0.166 0.250
Dy 0.500 0.834 0.750